No. 1
# Mn3Ir

Mn3Ir after structural relaxation (PBE-GGA, the Alexandria database).

Cell: 2.6068 8.4580 2.6068 Å, 98.86 60.00 98.86°
Closest atoms and distances in Å follow each position.
Element x y z (fractional)
Mn: 0.2466 0.7399 0.2466  9 Mn 2.50-2.61, 3 Ir 2.64
Mn: 0.7534 0.2601 0.7534  9 Mn 2.50-2.61, 3 Ir 2.64
Mn: 0.5000 0.5000 0.5000  12 Mn 2.50-2.61
Ir: 0.0000 0.0000 0.0000  6 Ir 2.61, 6 Mn 2.64

space-group type: No. 166
DOS at the Fermi energy: 4.983 states/eV/cell
spin magnetization: 0.300 μB per atom
energy relative to the elements: 0.06 eV per atom

=====

No. 2
# MnIr3

MnIr3 after structural relaxation (PBE-GGA, the Alexandria database).

Cell: 4.9009 4.9009 4.9009 Å, 90.00 90.00 90.00°
Closest atoms and distances in Å follow each position.
Element x y z (fractional)
Ir: 0.5000 0.0000 0.7500  2 Ir 2.45, 4 Mn 2.74
Ir: 0.7500 0.5000 0.0000  2 Ir 2.45, 4 Mn 2.74
Ir: 0.0000 0.2500 0.5000  2 Ir 2.45, 4 Mn 2.74
Ir: 0.5000 0.0000 0.2500  2 Ir 2.45, 4 Mn 2.74
Ir: 0.2500 0.5000 0.0000  2 Ir 2.45, 4 Mn 2.74
Ir: 0.0000 0.7500 0.5000  2 Ir 2.45, 4 Mn 2.74
Mn: 0.5000 0.5000 0.5000  12 Ir 2.74
Mn: 0.0000 0.0000 0.0000  12 Ir 2.74

space-group type: No. 223
DOS at the Fermi energy: 11.765 states/eV/cell
spin magnetization: 0.626 μB per atom
energy relative to the elements: 0.34 eV per atom